1.
The following is a DFT calculation (GGA-PBE) of CeAgPdAu after structural relaxation.

Cell lengths 4.9027, 4.9027, 4.9027 Å; angles 60.00, 60.00, 60.00 degrees
Atoms (fractional coordinates):
Ce 0.0000 0.0000 0.0000
Ag 0.5000 0.5000 0.5000
Pd 0.2500 0.2500 0.2500
Au 0.7500 0.7500 0.7500

## Properties
Magnetization   0.6 μB per formula unit
VASP energy   -4.790 eV per atom
Formation energy from the elements   -0.48 eV/atom

2.
The following is a DFT calculation (GGA-PBE) of CeAgPtAu after structural relaxation.

Cell lengths 4.8993, 4.8993, 4.8993 Å; angles 60.00, 60.00, 60.00 degrees
Atoms (fractional coordinates):
Ce 0.0000 0.0000 0.0000
Ag 0.5000 0.5000 0.5000
Pt 0.2500 0.2500 0.2500
Au 0.7500 0.7500 0.7500

## Properties
Magnetization   0.5 μB per formula unit
VASP energy   -5.090 eV per atom
Formation energy from the elements   -0.56 eV/atom

3.
The following is a DFT calculation (GGA-PBE) of CeAgRhAu after structural relaxation.

Cell lengths 4.8370, 4.8370, 4.8370 Å; angles 60.00, 60.00, 60.00 degrees
Atoms (fractional coordinates):
Ce 0.0000 0.0000 0.0000
Ag 0.5000 0.5000 0.5000
Rh 0.7500 0.7500 0.7500
Au 0.2500 0.2500 0.2500

## Properties
Magnetization   0.1 μB per formula unit
VASP energy   -5.214 eV per atom
Formation energy from the elements   -0.36 eV/atom

4.
The following is a DFT calculation (GGA-PBE) of Ce3Ag3AuS8 after structural relaxation.

Cell lengths 7.5826, 7.5826, 7.8756 Å; angles 117.54, 117.54, 68.51 degrees
Atoms (fractional coordinates):
Ce 0.0000 0.0000 0.0000
Ce 0.0000 0.5000 0.5000
Ce 0.5000 0.0000 0.5000
Ag 0.0000 0.5000 0.0000
Ag 0.5000 0.0000 0.0000
Ag 0.5000 0.5000 0.5000
Au 0.5000 0.5000 0.0000
S 0.2104 0.7770 0.2477
S 0.2230 0.7896 0.7523
S 0.2613 0.2613 0.2772
S 0.2724 0.2724 0.7508
S 0.7276 0.7276 0.2492
S 0.7387 0.7387 0.7228
S 0.7770 0.2104 0.2477
S 0.7896 0.2230 0.7523

## Properties
ΔE_f (raw)   -14.4 eV/f.u.
Magnetization   0.6 μB per formula unit
VASP energy   -5.136 eV per atom

5.
The following is a DFT calculation (GGA-PBE) of CeAgSbAu after structural relaxation.

Cell lengths 5.1142, 5.1142, 5.1142 Å; angles 60.00, 60.00, 60.00 degrees
Atoms (fractional coordinates):
Ce 0.0000 0.0000 0.0000
Ag 0.5000 0.5000 0.5000
Sb 0.7500 0.7500 0.7500
Au 0.2500 0.2500 0.2500

## Properties
ΔE_f (raw)   -1.9 eV/f.u.
Magnetization   0.9 μB per formula unit
VASP energy   -4.529 eV per atom

6.
The following is a DFT calculation (GGA-PBE) of CeScAgAu after structural relaxation.

Cell lengths 5.0674, 5.0674, 5.0674 Å; angles 60.00, 60.00, 60.00 degrees
Atoms (fractional coordinates):
Ce 0.0000 0.0000 0.0000
Sc 0.5000 0.5000 0.5000
Ag 0.2500 0.2500 0.2500
Au 0.7500 0.7500 0.7500

## Properties
Magnetization   1.1 μB per formula unit
VASP energy   -4.981 eV per atom
Formation energy from the elements   -0.38 eV/atom

7.
The following is a DFT calculation (GGA-PBE) of Ce3Ag3AuSe8 after structural relaxation.

Cell lengths 7.9661, 7.9661, 8.0098 Å; angles 117.26, 117.26, 65.06 degrees
Atoms (fractional coordinates):
Ce 0.0000 0.0000 0.0000
Ce 0.0000 0.5000 0.5000
Ce 0.5000 0.0000 0.5000
Ag 0.0000 0.5000 0.0000
Ag 0.5000 0.0000 0.0000
Ag 0.5000 0.5000 0.5000
Au 0.5000 0.5000 0.0000
Se 0.2329 0.7644 0.2559
Se 0.2356 0.7671 0.7441
Se 0.2562 0.2562 0.2576
Se 0.2731 0.2731 0.7747
Se 0.7269 0.7269 0.2253
Se 0.7438 0.7438 0.7424
Se 0.7644 0.2329 0.2559
Se 0.7671 0.2356 0.7441

## Properties
ΔE_f (raw)   -13.2 eV/f.u.
Magnetization   0.9 μB per formula unit
VASP energy   -4.716 eV per atom

8.
The following is a DFT calculation (GGA-PBE) of CeSi2AgAu5 after structural relaxation.

Cell lengths 4.7164, 4.7164, 9.0022 Å; angles 90.00, 90.00, 90.00 degrees
Atoms (fractional coordinates):
Ce 0.0000 0.0000 0.0000
Si 0.5000 0.5000 0.2631
Si 0.5000 0.5000 0.7369
Ag 0.0000 0.0000 0.5000
Au 0.0000 0.5000 0.3198
Au 0.0000 0.5000 0.6802
Au 0.5000 0.0000 0.3198
Au 0.5000 0.0000 0.6802
Au 0.5000 0.5000 0.0000

## Properties
ΔE_f (raw)   -1.1 eV/f.u.
Magnetization   1.4 μB per formula unit
VASP energy   -4.123 eV per atom

> What is the formula in the fifth record?

CeAgSbAu